GGA-PBE KZn6, relaxed; crystal system = cubic; calculated formation energy = 0.209 eV/atom; ρ = 4.0 Mg/m³
1.0
-3.280 -3.147 -4.165
5.469 -2.732 0.799
-3.046 0.108 5.359
Zn K
6 1
direct
0.500 0.250 0.750 Zn
0.750 0.250 0.500 Zn
0.750 0.500 0.250 Zn
0.500 0.750 0.250 Zn
0.250 0.500 0.750 Zn
0.250 0.750 0.500 Zn
0.000 0.000 0.000 K